Ho2AlCrO6: relaxed, GGA+U.

For the total DFT energy (no corrections), the calculation gives -7.89 eV/atom. Its crystal system is tetragonal.

The structure belongs to space group P4mm (No. 99); the cell edges are 5.299, 5.299 and 4.039 Å and the angles 90.00°, 90.00° and 90.00°. The distinct sites, in fractional coordinates, are Ho at (0.000, 0.500, 0.000), Al at (0.000, 0.000, 0.582), Cr at (0.500, 0.500, 0.602), O at (0.000, 0.000, 0.132), O at (0.243, 0.243, 0.657) and O at (0.500, 0.500, 0.116).